{
  "formula": "MgPbSeN2",
  "functional": "SCAN",
  "state": "single point on PBEsol structure",
  "final_energy_ev_per_fu": -113.450,
  "formation_energy_uncorrected_mev_per_atom": 1193,
  "spacegroup": "P4/mmm (123)",
  "lattice_angstrom": [[4.2333, 0.0000, 0.0000], [0.0000, 4.2333, 0.0000], [0.0000, 0.0000, 5.7416]],
  "species": ["Mg", "Pb", "Se", "N", "N"],
  "frac_coords": [[0.0000, 0.0000, 0.0000], [0.5000, 0.5000, 0.5000], [0.5000, 0.5000, 0.0000], [0.0000, 0.5000, 0.5000], [0.5000, 0.0000, 0.5000]]
}

{
  "formula": "MgTePbN2",
  "functional": "SCAN",
  "state": "single point on PBEsol structure",
  "final_energy_ev_per_fu": -132.047,
  "formation_energy_uncorrected_mev_per_atom": 908,
  "spacegroup": "P4/mmm (123)",
  "lattice_angstrom": [[4.3473, 0.0000, 0.0000], [0.0000, 4.3473, 0.0000], [0.0000, 0.0000, 5.6012]],
  "species": ["Mg", "Te", "Pb", "N", "N"],
  "frac_coords": [[0.0000, 0.0000, 0.0000], [0.0000, 0.0000, 0.5000], [0.5000, 0.5000, 0.5000], [0.0000, 0.5000, 0.0000], [0.5000, 0.0000, 0.0000]]
}

{
  "formula": "Mg3PdN",
  "functional": "SCAN",
  "state": "single point on PBEsol structure",
  "final_energy_ev_per_fu": -53.448,
  "formation_energy_uncorrected_mev_per_atom": 708,
  "spacegroup": "Pm-3m (221)",
  "lattice_angstrom": [[4.8843, 0.0000, 0.0000], [0.0000, 4.8843, 0.0000], [0.0000, 0.0000, 4.8843]],
  "species": ["Mg", "Mg", "Mg", "Pd", "N"],
  "frac_coords": [[0.0000, 0.0000, 0.5000], [0.0000, 0.5000, 0.0000], [0.5000, 0.0000, 0.0000], [0.0000, 0.0000, 0.0000], [0.5000, 0.5000, 0.5000]]
}

{
  "formula": "MgPdSN2",
  "functional": "SCAN",
  "state": "single point on PBEsol structure",
  "final_energy_ev_per_fu": -59.570,
  "formation_energy_uncorrected_mev_per_atom": 1278,
  "spacegroup": "P4/mmm (123)",
  "lattice_angstrom": [[3.8294, 0.0000, 0.0000], [0.0000, 3.8294, 0.0000], [0.0000, 0.0000, 4.9407]],
  "species": ["Mg", "Pd", "S", "N", "N"],
  "frac_coords": [[0.0000, 0.0000, 0.0000], [0.5000, 0.5000, 0.5000], [0.0000, 0.0000, 0.5000], [0.0000, 0.5000, 0.0000], [0.5000, 0.0000, 0.0000]]
}

{
  "formula": "MgTePdN2",
  "functional": "SCAN",
  "state": "single point on PBEsol structure",
  "final_energy_ev_per_fu": -89.110,
  "formation_energy_uncorrected_mev_per_atom": 894,
  "spacegroup": "P4/mmm (123)",
  "lattice_angstrom": [[3.9935, 0.0000, 0.0000], [0.0000, 3.9935, 0.0000], [0.0000, 0.0000, 5.5712]],
  "species": ["Mg", "Te", "Pd", "N", "N"],
  "frac_coords": [[0.0000, 0.0000, 0.0000], [0.5000, 0.5000, 0.0000], [0.5000, 0.5000, 0.5000], [0.0000, 0.5000, 0.5000], [0.5000, 0.0000, 0.5000]]
}

{
  "formula": "MgTlPd2N",
  "functional": "SCAN",
  "state": "single point on PBEsol structure",
  "final_energy_ev_per_fu": -144.971,
  "formation_energy_uncorrected_mev_per_atom": 1440,
  "spacegroup": "P4/mmm (123)",
  "lattice_angstrom": [[4.6164, 0.0000, 0.0000], [0.0000, 4.6164, 0.0000], [0.0000, 0.0000, 5.3698]],
  "species": ["Mg", "Tl", "Pd", "Pd", "N"],
  "frac_coords": [[0.0000, 0.0000, 0.0000], [0.0000, 0.0000, 0.5000], [0.0000, 0.5000, 0.0000], [0.5000, 0.0000, 0.0000], [0.5000, 0.5000, 0.5000]]
}